K2BiIO2: relaxed, PBE.

abc: 4.5955 4.5955 7.3116
angles: 90.00 90.00 90.00
Atoms (fractional coordinates):
K1 0.5000 0.5000 0.7693
K2 0.5000 0.5000 0.2307
Bi1 0.0000 0.0000 0.0000
I1 0.0000 0.0000 0.5000
O1 0.5000 0.0000 0.0000
O2 0.0000 0.5000 0.0000

Energy = -25.07 eV per formula unit
ΔE_f (raw) = -1.26 eV per atom



PrNd2YTm: relaxed, PBE.

abc: 6.4291 8.9165 6.3992
angles: 104.84 90.00 90.00
Atoms (fractional coordinates):
Pr1 0.0000 0.0000 0.0000
Pr2 0.0000 0.0000 0.5000
Nd1 0.6853 0.6835 0.8265
Nd2 0.6853 0.3165 0.6735
Nd3 0.3147 0.6835 0.3265
Nd4 0.3147 0.3165 0.1735
Y1 0.1671 0.5000 0.7500
Y2 0.8329 0.5000 0.2500
Tm1 0.5299 0.0000 0.2500
Tm2 0.4701 0.0000 0.7500

ΔE_f = 0.2719 eV per atom
Energy = -23.89 eV per formula unit



HoScInCo: relaxed, PBE.

abc: 3.2578 3.2578 7.7475
angles: 90.00 90.00 90.00
Site moments in Bohr magnetons follow the coordinates.
Atoms (fractional coordinates):
Ho1 0.5000 0.5000 0.7768  -0.10
Sc1 0.5000 0.5000 0.3688  -0.08
In1 0.0000 0.0000 0.0890  0.01
Co1 0.0000 0.0000 0.5500  0.50

ΔE_f = -0.3639 eV per atom
Energy = -22.21 eV per formula unit
ΔE to the lowest computed polymorph = 0.0000 eV per atom



KVSe2: relaxed, PBE.

abc: 8.9198 7.4236 3.3936
angles: 90.00 79.04 109.96
Atoms (fractional coordinates):
K1 0.2961 0.3549 0.5042
K2 0.9144 0.5660 0.6952
Se1 0.6618 0.7399 0.3214
Se2 0.5486 0.1808 0.8780
Se3 0.9464 0.1842 0.1791
Se4 0.2641 0.7366 0.0203
V1 0.4722 0.9162 0.4162
V2 0.7383 0.0045 0.7833

Energy = -20.74 eV per formula unit
ΔE_f (raw) = -0.89 eV per atom